Entry 1:
A relaxed structure of TaTcBr. Source: the Alexandria database, functional PBE.

Cell: 4.370 4.370 3.053 Å, 90.00 90.00 120.00°
Element x y z (fractional)
Ta  0.000  0.000  0.000
Tc  0.333  0.667  0.500
Br  0.667  0.333  0.500

Calculated values
energy relative to the lowest polymorph listed for this composition	0.489	eV per atom
ρ	11.80	Mg/m³
SG	No. 187
calculated total energy	-7.409	eV per atom
formation energy from raw total energies	0.5552	eV per atom

Entry 2:
A relaxed structure of CaTlZn2. Source: the Alexandria database, functional PBE.

Cell: 3.586 4.784 5.572 Å, 90.00 90.08 90.00°
Element x y z (fractional)
Ca  0.000  0.000  0.000
Tl  0.500  0.000  0.500
Zn  0.500  0.500  0.233
Zn  0.500  0.500  0.767

Calculated values
ρ	6.52	Mg/m³
E_form	-0.11	eV per atom
SG	No. 10
calculated total energy	-1.840	eV per atom

Entry 3:
A relaxed structure of PaTaPb2. Source: the Alexandria database, functional PBE.

Cell: 11.822 11.822 11.822 Å, 15.49 15.49 15.49°
Element x y z (fractional)
Pa  0.000  0.000  0.000
Ta  0.500  0.500  0.500
Pb  0.416  0.416  0.416
Pb  0.584  0.584  0.584

Calculated values
ρ	13.36	Mg/m³
E_form	0.57	eV per atom
SG	No. 166
calculated total energy	-6.624	eV per atom

Entry 4:
A relaxed structure of AgW. Source: the Alexandria database, functional PBE.

Cell: 9.658 9.658 2.689 Å, 90.00 90.00 120.00°
Element x y z (fractional)
Ag  0.052  0.283  0.250
Ag  0.231  0.948  0.250
Ag  0.283  0.231  0.750
Ag  0.717  0.769  0.250
Ag  0.769  0.052  0.750
Ag  0.948  0.717  0.750
W  0.154  0.620  0.250
W  0.380  0.533  0.250
W  0.467  0.846  0.250
W  0.533  0.154  0.750
W  0.620  0.467  0.750
W  0.846  0.380  0.750

Calculated values
energy relative to the lowest polymorph listed for this composition	0.463	eV per atom
ρ	13.38	Mg/m³
E_form	0.81	eV per atom
SG	No. 176
calculated total energy	-7.096	eV per atom

Entry 5:
A relaxed structure of Sr4Ca3Hg2. Source: the Alexandria database, functional PBE.

Cell: 9.835 9.835 10.106 Å, 114.86 114.86 25.75°
Element x y z (fractional)
Sr  0.123  0.123  0.379
Sr  0.267  0.267  0.843
Sr  0.733  0.733  0.157
Sr  0.877  0.877  0.621
Ca  0.427  0.427  0.308
Ca  0.500  0.500  0.000
Ca  0.573  0.573  0.692
Hg  0.103  0.103  0.935
Hg  0.897  0.897  0.065

Calculated values
ρ	3.78	Mg/m³
E_form	-0.23	eV per atom
SG	No. 12
calculated total energy	-1.712	eV per atom

Entry 6:
A relaxed structure of BaNa. Source: the Alexandria database, functional PBE.

Cell: 4.607 6.060 7.860 Å, 90.00 107.07 90.00°
Element x y z (fractional)
Ba  0.161  0.250  0.321
Ba  0.839  0.750  0.679
Na  0.431  0.250  0.864
Na  0.569  0.750  0.136

Calculated values
energy relative to the lowest polymorph listed for this composition	0.043	eV per atom
ρ	2.54	Mg/m³
E_form	0.02	eV per atom
SG	No. 11
calculated total energy	-1.598	eV per atom